CaReI2N, relaxed, DFT PBE; formation energy from raw total energies = -68.5 meV/atom; polymorph energy (0 for the lowest one) = 0.0000 eV/atom
1.0
5.6799 0.0000 0.0000
0.0000 5.6799 0.0000
0.0000 0.0000 3.8343
Ca Re I N
1 1 2 1
Direct
0.0000 0.0000 0.0000
0.5000 0.5000 0.5000
0.0000 0.5000 0.5000
0.5000 0.0000 0.5000
0.5000 0.5000 0.0000